Entry 1:
The following is a DFT calculation (PBE-GGA) of NaHfB after structural relaxation. Values from VASP.

## Properties
Formation enthalpy at 0 K, meV/atom: 116.5
Space-group type: No. 8
Offset from the most stable computed form, meV per atom: 429
Calculated density, Mg/m³: 5.74

```
&SYSTEM
  ibrav = 0, nat = 6, ntyp = 3
/
ATOMIC_SPECIES
Hf 178.49 Hf.upf
Na 22.99 Na.upf
B 10.81 B.upf
CELL_PARAMETERS angstrom
17.465 0.000 -0.009
8.228 1.569 -2.244
-8.228 1.569 2.244
ATOMIC_POSITIONS crystal
Hf 0.215 0.715 0.285
Hf 0.751 0.569 0.431
Na 0.231 0.474 0.526
Na 0.707 0.379 0.621
B 0.703 0.217 0.783
B 0.625 0.826 0.174
```

---

Entry 2:
The following is a DFT calculation (PBE-GGA) of NaHfB after structural relaxation. Values from VASP.

## Properties
Formation enthalpy at 0 K, meV/atom: 1382.3
Space-group type: No. 194
Offset from the most stable computed form, meV per atom: 1695
Calculated density, Mg/m³: 4.65

```
&SYSTEM
  ibrav = 0, nat = 6, ntyp = 3
/
ATOMIC_SPECIES
Hf 178.49 Hf.upf
B 10.81 B.upf
Na 22.99 Na.upf
CELL_PARAMETERS angstrom
3.795 -2.191 0.000
0.000 4.382 0.000
0.000 0.000 9.109
ATOMIC_POSITIONS crystal
Hf 0.000 0.000 0.000
Hf 0.000 0.000 0.500
B 0.000 0.000 0.750
B 0.000 0.000 0.250
Na 0.333 0.667 0.250
Na 0.667 0.333 0.750
```

---

Entry 3:
The following is a DFT calculation (PBE-GGA) of NaHfB after structural relaxation. Values from VASP.

## Properties
Formation enthalpy at 0 K, meV/atom: -312.5
Space-group type: No. 1
Offset from the most stable computed form, meV per atom: 0
Calculated density, Mg/m³: 6.31

```
&SYSTEM
  ibrav = 0, nat = 6, ntyp = 3
/
ATOMIC_SPECIES
Na 22.99 Na.upf
Hf 178.49 Hf.upf
B 10.81 B.upf
CELL_PARAMETERS angstrom
3.184 -0.001 -0.003
1.593 2.757 -0.002
1.694 0.918 12.725
ATOMIC_POSITIONS crystal
Na 0.408 0.952 0.313
Na 0.807 0.375 0.051
Hf 0.561 0.118 0.813
Hf 0.657 0.206 0.550
B 0.276 0.829 0.682
B 0.942 0.495 0.682
```

---

Entry 4:
The following is a DFT calculation (PBE-GGA) of NaHfB after structural relaxation. Values from VASP.

## Properties
Formation enthalpy at 0 K, meV/atom: 71.1
Space-group type: No. 1
Offset from the most stable computed form, meV per atom: 384
Calculated density, Mg/m³: 5.77

```
&SYSTEM
  ibrav = 0, nat = 6, ntyp = 3
/
ATOMIC_SPECIES
Hf 178.49 Hf.upf
B 10.81 B.upf
Na 22.99 Na.upf
CELL_PARAMETERS angstrom
-1.111 -2.942 0.258
2.174 -0.579 2.761
-4.452 2.682 10.935
ATOMIC_POSITIONS crystal
Hf 0.164 0.100 0.008
Hf 0.661 0.861 0.834
B 0.160 0.491 0.747
B 0.660 0.574 0.691
Na 0.666 0.224 0.260
Na 0.158 0.285 0.550
```

---

Entry 5:
The following is a DFT calculation (PBE-GGA) of Na2HfNbB after structural relaxation. Values from VASP.

## Properties
Formation enthalpy at 0 K, meV/atom: 1090.1
Space-group type: No. 123
Calculated density, Mg/m³: 5.50

```
&SYSTEM
  ibrav = 0, nat = 5, ntyp = 4
/
ATOMIC_SPECIES
Hf 178.49 Hf.upf
Na 22.99 Na.upf
B 10.81 B.upf
Nb 92.91 Nb.upf
CELL_PARAMETERS angstrom
-2.995 1.190 3.274
2.961 -1.575 3.281
1.932 4.161 0.254
ATOMIC_POSITIONS crystal
Hf 0.500 0.500 0.500
Na 0.500 0.000 0.000
Na 0.000 0.000 0.500
B 0.000 0.000 0.000
Nb 0.000 0.500 0.000
```

---

Entry 6:
The following is a DFT calculation (PBE-GGA) of Na2HfB2O6 after structural relaxation. Values from VASP.

## Properties
Space-group type: No. 147
Calculated density, Mg/m³: 4.07
Formation energy from raw total energies, eV per formula unit: -28.509

```
&SYSTEM
  ibrav = 0, nat = 11, ntyp = 4
/
ATOMIC_SPECIES
O 16.00 O.upf
Hf 178.49 Hf.upf
B 10.81 B.upf
Na 22.99 Na.upf
CELL_PARAMETERS angstrom
5.181 0.000 0.000
-2.590 4.487 0.000
0.000 0.000 6.007
ATOMIC_POSITIONS crystal
O 0.886 0.255 0.202
O 0.631 0.886 0.798
O 0.114 0.745 0.798
O 0.745 0.631 0.202
O 0.255 0.369 0.798
O 0.369 0.114 0.202
Hf 0.000 0.000 0.000
B 0.333 0.667 0.804
B 0.667 0.333 0.196
Na 0.667 0.333 0.675
Na 0.333 0.667 0.325
```

---

Entry 7:
The following is a DFT calculation (PBE-GGA) of NaHfB2Os after structural relaxation. Values from VASP.

## Properties
Formation enthalpy at 0 K, meV/atom: 2243.7
Space-group type: No. 123
Offset from the most stable computed form, meV per atom: 480
Calculated density, Mg/m³: 8.93

```
&SYSTEM
  ibrav = 0, nat = 5, ntyp = 4
/
ATOMIC_SPECIES
B 10.81 B.upf
Hf 178.49 Hf.upf
Os 190.23 Os.upf
Na 22.99 Na.upf
CELL_PARAMETERS angstrom
4.094 0.000 0.000
0.000 4.587 0.000
0.000 0.000 4.094
ATOMIC_POSITIONS crystal
B 0.000 0.000 0.500
B 0.500 0.000 0.000
Hf 0.500 0.500 0.500
Os 0.000 0.500 0.000
Na 0.000 0.000 0.000
```

---

Entry 8:
The following is a DFT calculation (PBE-GGA) of NaHfB2Os after structural relaxation. Values from VASP.

## Properties
Formation enthalpy at 0 K, meV/atom: 1763.9
Space-group type: No. 123
Offset from the most stable computed form, meV per atom: 0
Calculated density, Mg/m³: 6.58

```
&SYSTEM
  ibrav = 0, nat = 5, ntyp = 4
/
ATOMIC_SPECIES
Hf 178.49 Hf.upf
B 10.81 B.upf
Os 190.23 Os.upf
Na 22.99 Na.upf
CELL_PARAMETERS angstrom
-3.744 0.279 -2.613
-1.966 -3.905 2.400
-1.912 2.832 3.041
ATOMIC_POSITIONS crystal
Hf 0.000 0.000 0.000
B 0.500 0.000 0.000
B 0.000 0.000 0.500
Os 0.000 0.500 0.000
Na 0.500 0.500 0.500
```